Material: TaAl2Cu
Method: DFT, PBE
State: optimized geometry

Properties
Its electronic total energy is -0.2087 Ha/atom. Its density of states at the Fermi level is 3.9 states/eV/cell. For the formation energy, the calculation gives 180 meV per atom. For the spin magnetization, the calculation gives 0.00 Bohr magnetons per cell.

a b c (Å): 6.935 6.935 5.398
angles (deg): 90.00 90.00 90.00
Space group I-42d (No. 122)
Unique sites:
Ta  0.000  0.000  0.000 [4 per cell]
Al  0.208  0.250  0.625 [8 per cell]
Cu  0.000  0.000  0.500 [4 per cell]